Record 1
A geometry-optimized Tb2PuSc structure, computed with GGA-PBE.

Cell and atoms, written as POSCAR:
```
Tb2PuSc
1.0
-2.361 -4.921 -0.273
0.682 -3.588 4.066
-4.181 -1.212 3.304
Sc Tb Pu
1 2 1
direct
0.500 0.500 0.500
0.250 0.250 0.250
0.750 0.750 0.750
0.000 0.000 0.000
```

Output
energy above the most stable polymorph in this dataset: 7.6 kJ/mol of atoms
space-group type: No. 225
formation energy: 0.1898 eV per atom

=====

Record 2
A geometry-optimized Ba2H2I structure, computed with GGA-PBE.

Cell and atoms, written as POSCAR:
```
Ba2H2I
1.0
-5.095 3.689 6.319
-7.163 -4.087 -3.390
0.636 -2.988 2.257
I H Ba
2 4 4
direct
0.000 0.000 0.000
0.500 0.500 0.000
0.106 0.606 0.500
0.606 0.894 0.500
0.894 0.394 0.500
0.394 0.106 0.500
0.352 0.852 0.000
0.852 0.648 0.000
0.648 0.148 0.000
0.148 0.352 0.000
```

Output
energy above the most stable polymorph in this dataset: 35.6 kJ/mol of atoms
space-group type: No. 127

=====

Record 3
A geometry-optimized Li3Er2PuTe6 structure, computed with GGA-PBE.

Cell and atoms, written as POSCAR:
```
Li3Er2PuTe6
1.0
-3.993 -0.089 6.390
4.819 -5.594 -1.508
4.851 5.434 1.626
Li Er Pu Te
3 2 1 6
direct
0.166 0.834 0.500
0.834 0.166 0.500
0.500 0.500 0.500
0.333 0.667 0.000
0.667 0.333 0.000
0.000 0.000 0.000
0.915 0.575 0.745
0.746 0.746 0.256
0.085 0.425 0.255
0.575 0.915 0.745
0.254 0.254 0.744
0.425 0.085 0.255
```

Output
energy: -5.182 eV per atom
space-group type: No. 12

=====

Record 4
A geometry-optimized HI structure, computed with GGA-PBE.

Cell and atoms, written as POSCAR:
```
HI
1.0
3.759 0.000 0.000
-1.880 3.255 0.000
0.000 0.000 8.364
H I
2 2
direct
0.333 0.667 0.250
0.667 0.333 0.750
0.333 0.667 0.750
0.667 0.333 0.250
```

Output
energy: -2.056 eV per atom
space-group type: No. 194

=====

Record 5
A geometry-optimized CsTl2 structure, computed with GGA-PBE.

Cell and atoms, written as POSCAR:
```
CsTl2
1.0
4.214 0.000 0.000
0.000 4.214 0.000
-2.107 -2.107 7.102
Cs Tl
1 2
direct
0.000 0.000 0.000
0.698 0.698 0.397
0.302 0.302 0.603
```

Output
energy above the most stable polymorph in this dataset: 5.7 kJ/mol of atoms
space-group type: No. 139
formation energy: -0.0538 eV per atom

=====

Record 6
A geometry-optimized LiCaZn2O structure, computed with GGA-PBE.

Cell and atoms, written as POSCAR:
```
LiCaZn2O
1.0
4.984 0.000 0.000
0.000 3.721 0.000
0.000 0.000 4.984
Zn Ca O Li
2 1 1 1
direct
0.000 0.000 0.500
0.500 0.000 0.000
0.500 0.500 0.500
0.000 0.000 0.000
0.000 0.500 0.000
```

Output
energy: -2.711 eV per atom
space-group type: No. 123

=====

no.,N(E_F) (states/eV/atom)
1,2.67
2,0.76
3,1.21
4,0.25
5,0.59
6,0.73